# KYSn | Alexandria via LeMat-Bulk | PBE-GGA | relaxed
data_KYSn
_chemical_formula_sum 'K2 Y2 Sn2'
_symmetry_space_group_name_H-M 'P 1'
_symmetry_Int_Tables_number 1
_cell_length_a 4.703
_cell_length_b 3.804
_cell_length_c 13.892
_cell_angle_alpha 90.00
_cell_angle_beta 99.21
_cell_angle_gamma 90.00
loop_
_symmetry_equiv_pos_as_xyz
'x,y,z'
loop_
_atom_site_label
_atom_site_type_symbol
_atom_site_fract_x
_atom_site_fract_y
_atom_site_fract_z
K1 K 0.000 0.000 0.000
K2 K 0.367 0.500 0.713
Y1 Y 0.242 0.500 0.451
Y2 Y 0.661 0.000 0.282
Sn1 Sn 0.133 0.500 0.221
Sn2 Sn 0.775 0.000 0.521
# ΔE_f in eV per atom: -0.371
# Relative energy among the computed polymorphs in meV/atom: 25
# N(E_F) in states/eV/f.u.: 2.082
# Total energy in eV per cell: -25.4
# Crystal system: monoclinic